Record 1
CaCeMgSc after structural relaxation. Source: Alexandria via LeMat-Bulk, functional PBE.

Structure (extended XYZ):
```
4
Lattice="5.500 0.000 0.000 2.750 4.763 0.000 2.750 1.588 4.491" Properties=species:S:1:pos:R:3 pbc="T T T"
Ce 8.250 4.763 3.368
Ca 2.750 1.588 1.123
Sc 0.000 0.000 0.000
Mg 5.500 3.176 2.245
```

Values from the calculation:
The density of states at the Fermi level comes out at 9.51 states/eV per cell. The space group is F-43m (216). For the size of the total moment, the calculation gives 1.36 μB/cell. The formation energy is 0.183 eV per atom.

---

Record 2
InGe2Au6 after structural relaxation. Source: Alexandria via LeMat-Bulk, functional PBE.

Structure (extended XYZ):
```
9
Lattice="-3.159 -1.640 3.160 4.758 0.739 1.556 -0.288 7.684 3.701" Properties=species:S:1:pos:R:3 pbc="T T T"
Au -0.016 6.353 3.282
Au -0.575 2.539 4.329
Au 1.327 0.429 5.134
Au 1.886 4.243 4.088
Au -0.423 5.276 5.901
Au 1.734 1.506 2.516
Ge -0.906 0.149 2.756
Ge 2.217 6.633 5.660
In -0.144 3.842 1.851
```

Values from the calculation:
The density of states at the Fermi level comes out at 2.74 states/eV per cell. The space group is C2/m (12). For the size of the total moment, the calculation gives 0.00 μB/cell. The formation energy is -0.020 eV per atom.

---

Record 3
TbLu3Rh after structural relaxation. Source: Alexandria via LeMat-Bulk, functional PBE.

Structure (extended XYZ):
```
5
Lattice="-1.633 2.530 4.352 -3.924 -3.507 0.566 3.154 -3.052 2.958" Properties=species:S:1:pos:R:3 pbc="T T T"
Lu 1.577 -1.526 1.479
Lu -0.817 1.265 2.176
Lu -1.962 -1.753 0.283
Tb -1.201 -2.014 3.938
Rh 0.000 0.000 0.000
```

Values from the calculation:
The density of states at the Fermi level comes out at 7.26 states/eV per cell. The space group is Pm-3m (221). For the size of the total moment, the calculation gives 0.00 μB/cell. The formation energy is -0.280 eV per atom.

---

Record 4
Na3ZrU3N8 after structural relaxation. Source: Alexandria via LeMat-Bulk, functional PBE.

Structure (extended XYZ):
```
15
Lattice="-0.913 -1.264 6.708 6.275 1.525 -2.394 -4.884 4.961 0.270" Properties=species:S:1:pos:R:3 pbc="T T T"
N -1.514 1.350 1.848
N -1.962 0.729 5.141
N 2.440 4.492 -0.557
N 1.624 2.041 0.606
N 1.992 3.872 2.736
N -1.146 3.180 3.979
N 1.118 1.478 3.966
N -0.640 3.744 0.618
Na 2.681 0.130 2.157
Na 0.000 0.000 0.000
Na 3.138 0.762 -1.197
U 0.696 3.243 -1.062
U 0.239 2.611 2.292
U -2.899 1.848 3.489
Zr -2.442 2.480 0.135
```

Values from the calculation:
The density of states at the Fermi level comes out at 4.24 states/eV per cell. The uncorrected formation energy comes out at -1.0585 eV/atom. The space group is R-3m (166). For the size of the total moment, the calculation gives 1.13 μB/cell.

---

Record 5
Ac3Er2Tl4 after structural relaxation. Source: Alexandria via LeMat-Bulk, functional PBE.

Structure (extended XYZ):
```
9
Lattice="-3.506 -1.844 2.898 5.236 2.171 3.559 -4.678 9.145 0.160" Properties=species:S:1:pos:R:3 pbc="T T T"
Tl -0.786 0.270 3.378
Tl -0.571 3.441 5.655
Tl -2.163 9.202 3.239
Tl -2.378 6.031 0.961
Ac -0.183 6.531 3.934
Ac 0.000 0.000 0.000
Ac -2.766 2.941 2.682
Er -4.065 6.639 3.464
Er 1.116 2.833 3.153
```

Values from the calculation:
The density of states at the Fermi level comes out at 7.83 states/eV per cell. Its offset from the most stable computed form is 18 meV/atom. The space group is C2/m (12). For the size of the total moment, the calculation gives 0.00 μB/cell. The formation energy is -0.263 eV per atom.

---

Record 6
TiReBi after structural relaxation. Source: Alexandria via LeMat-Bulk, functional PBE.

Structure (extended XYZ):
```
6
Lattice="-0.277 -2.859 -1.581 -0.460 -1.537 2.859 -11.303 3.869 -1.618" Properties=species:S:1:pos:R:3 pbc="T T T"
Ti -3.737 0.535 -0.313
Ti -8.302 -1.062 -0.026
Re -6.616 0.947 -0.555
Re -5.424 -1.474 0.215
Bi -2.191 -1.937 0.486
Bi -9.848 1.410 -0.826
```

Values from the calculation:
The density of states at the Fermi level comes out at 5.48 states/eV per cell. The space group is I4/mmm (139). For the size of the total moment, the calculation gives 0.00 μB/cell. The formation energy is -0.079 eV per atom.

---

Record 7
ReRhCl2 after structural relaxation. Source: Alexandria via LeMat-Bulk, functional PBE.

Structure (extended XYZ):
```
4
Lattice="-2.023 -2.162 -0.242 0.910 -0.541 -2.776 5.512 -5.478 2.874" Properties=species:S:1:pos:R:3 pbc="T T T"
Re 2.928 -2.909 1.526
Cl 5.109 -5.077 2.664
Cl 1.240 -3.136 -0.572
Rh 3.391 -5.274 0.549
```

Values from the calculation:
The density of states at the Fermi level comes out at 2.08 states/eV per cell. Its offset from the most stable computed form is 139 meV/atom. The uncorrected formation energy comes out at 0.1092 eV/atom. The space group is P4mm (99). For the size of the total moment, the calculation gives 0.00 μB/cell.

---

Record 8
CaAu2Se after structural relaxation. Source: Alexandria via LeMat-Bulk, functional PBE.

Structure (extended XYZ):
```
4
Lattice="-2.358 -5.732 -0.084 1.126 -5.451 -2.727 1.684 -5.745 1.609" Properties=species:S:1:pos:R:3 pbc="T T T"
Se 0.334 -12.489 -0.887
Au 0.119 -4.467 -0.317
Au 0.001 -0.036 -0.003
Ca 0.225 -8.401 -0.597
```

Values from the calculation:
The density of states at the Fermi level comes out at 0.84 states/eV per cell. The uncorrected formation energy comes out at -0.5900 eV/atom. The space group is R3m (160). For the size of the total moment, the calculation gives 0.00 μB/cell.

---

Record 9
CsKSbTe3 after structural relaxation. Source: Alexandria via LeMat-Bulk, functional PBE.

Structure (extended XYZ):
```
12
Lattice="-5.737 -4.988 -0.868 3.554 -4.945 4.633 -3.903 6.598 6.541" Properties=species:S:1:pos:R:3 pbc="T T T"
Te -6.235 1.798 4.782
Te -1.206 1.821 7.759
Te 0.149 -5.134 5.523
Te -4.879 -5.157 2.546
Te -3.355 3.129 5.643
Te -2.731 -6.464 4.663
K -5.707 -1.680 3.575
K -0.379 -1.656 6.730
Sb -0.703 0.653 1.182
Sb -5.383 -3.989 9.123
Cs -1.396 -3.132 2.383
Cs -4.689 -0.204 7.922
```

Values from the calculation:
The density of states at the Fermi level comes out at 1.98 states/eV per cell. The uncorrected formation energy comes out at -0.5746 eV/atom. The space group is C2/m (12). For the size of the total moment, the calculation gives 0.00 μB/cell.

---

Record 10
MnSiNiPd after structural relaxation. Source: Alexandria via LeMat-Bulk, functional PBE.

Structure (extended XYZ):
```
4
Lattice="-3.121 0.953 2.640 -1.442 -2.894 2.677 0.768 0.375 4.109" Properties=species:S:1:pos:R:3 pbc="T T T"
Si -2.846 -1.174 7.070
Ni -1.897 -0.783 4.713
Pd 0.000 0.000 0.000
Mn -0.949 -0.391 2.357
```

Values from the calculation:
The density of states at the Fermi level comes out at 2.39 states/eV per cell. The uncorrected formation energy comes out at -0.3078 eV/atom. The space group is F-43m (216). For the size of the total moment, the calculation gives 4.04 μB/cell.

---

Record 11
Sn4Te3Se after structural relaxation. Source: Alexandria via LeMat-Bulk, functional PBE.

Structure (extended XYZ):
```
8
Lattice="4.460 0.000 0.000 0.000 7.737 -0.068 0.000 -2.504 7.321" Properties=species:S:1:pos:R:3 pbc="T T T"
Te 2.230 2.617 3.627
Te 0.000 3.869 -0.034
Te 0.000 -1.252 3.661
Sn 0.000 1.252 1.736
Sn 0.000 3.981 5.517
Sn 2.230 5.238 1.735
Sn 2.230 -0.005 5.518
Se 2.230 0.000 0.000
```

Values from the calculation:
The density of states at the Fermi level comes out at 0.13 states/eV per cell. The uncorrected formation energy comes out at -0.3136 eV/atom. The space group is Cmmm (65). For the size of the total moment, the calculation gives 0.00 μB/cell.

---

Record 12
LaCrCl2 after structural relaxation. Source: Alexandria via LeMat-Bulk, functional PBE.

Structure (extended XYZ):
```
4
Lattice="4.015 0.000 0.000 0.000 3.540 -0.208 0.000 0.374 6.309" Properties=species:S:1:pos:R:3 pbc="T T T"
Cl 0.000 1.075 3.160
Cl 0.000 1.255 6.199
Cr 2.008 0.978 1.525
La 2.008 2.935 4.576
```

Values from the calculation:
The density of states at the Fermi level comes out at 1.88 states/eV per cell. Its offset from the most stable computed form is 103 meV/atom. The uncorrected formation energy comes out at -0.7799 eV/atom. The space group is Pmmm (47). For the size of the total moment, the calculation gives 4.28 μB/cell.